# 1
The following is a GGA-PBE calculation of a relaxed structure of Tb8Ho3In4, from Alexandria via LeMat-Bulk.

Cell: 9.0654 9.0654 6.5620 Å, 110.84 110.84 88.89°
With the nearest neighbours (Å) after each atom.
Element x y z (fractional)
Tb 0.1444 0.8556 0.0000  7 Tb 3.50-3.67, 2 Ho 3.50, 4 In 3.53-3.76
Tb 0.2302 0.2302 0.9775  2 In 3.06-3.42, 2 Ho 3.18, 2 Tb 3.25-3.32
Tb 0.2405 0.2405 0.4932  4 In 3.14-3.35, 2 Tb 3.25-3.32, 1 Ho 3.34
Tb 0.2402 0.7598 0.5000  3 In 3.05-3.24, 3 Ho 3.27-3.30
Tb 0.7598 0.2402 0.5000  3 In 3.05-3.24, 3 Ho 3.27-3.30
Tb 0.7595 0.7595 0.5068  4 In 3.14-3.35, 2 Tb 3.25-3.32, 1 Ho 3.34
Tb 0.7698 0.7698 0.0225  2 In 3.06-3.42, 2 Ho 3.18, 2 Tb 3.25-3.32
Tb 0.8556 0.1444 0.0000  7 Tb 3.50-3.67, 2 Ho 3.50, 4 In 3.53-3.76
Ho 0.0000 0.5000 0.0000  6 Tb 3.18-3.50, 2 In 3.28
Ho 0.5000 0.0000 0.0000  6 Tb 3.18-3.50, 2 In 3.28
Ho 0.5000 0.5000 0.5000  2 In 3.28, 6 Tb 3.30-3.47
In 0.0000 0.0000 0.5000  6 Tb 3.05-3.14
In 0.0000 0.5000 0.5000  6 Tb 3.18-3.53, 2 Ho 3.28
In 0.5000 0.0000 0.5000  6 Tb 3.18-3.53, 2 Ho 3.28
In 0.5000 0.5000 0.0000  2 Ho 3.28, 4 Tb 3.35-3.42

energy relative to the elements: 71 meV/atom

=====

# 2
The following is a GGA-PBE calculation of a relaxed structure of Tb7Ho12In, from Alexandria via LeMat-Bulk.

Cell: 8.6098 8.6098 8.6098 Å, 87.57 87.57 87.57°
With the nearest neighbours (Å) after each atom.
Element x y z (fractional)
Tb 0.0000 0.0000 0.0000  6 Ho 3.21
Tb 0.1102 0.3542 0.4284  3 Tb 3.33-3.44, 6 Ho 3.48-3.71, 1 In 3.72
Tb 0.3542 0.4284 0.1102  3 Tb 3.33-3.44, 6 Ho 3.48-3.71, 1 In 3.72
Tb 0.4284 0.1102 0.3542  3 Tb 3.33-3.44, 6 Ho 3.48-3.71, 1 In 3.72
Tb 0.5716 0.8898 0.6458  3 Tb 3.33-3.44, 6 Ho 3.48-3.71, 1 In 3.72
Tb 0.6458 0.5716 0.8898  3 Tb 3.33-3.44, 6 Ho 3.48-3.71, 1 In 3.72
Tb 0.8898 0.6458 0.5716  3 Tb 3.33-3.44, 6 Ho 3.48-3.71, 1 In 3.72
Ho 0.0014 0.6407 0.1141  4 Ho 3.18-3.43, 2 Tb 3.21-3.48
Ho 0.1141 0.0014 0.6407  4 Ho 3.18-3.43, 2 Tb 3.21-3.48
Ho 0.2431 0.7523 0.3647  1 In 3.25, 5 Ho 3.26-3.48, 2 Tb 3.53-3.59
Ho 0.2477 0.6353 0.7569  1 In 3.25, 5 Ho 3.26-3.48, 2 Tb 3.53-3.59
Ho 0.3593 0.8859 0.9986  4 Ho 3.18-3.43, 2 Tb 3.21-3.48
Ho 0.3647 0.2431 0.7523  1 In 3.25, 5 Ho 3.26-3.48, 2 Tb 3.53-3.59
Ho 0.6353 0.7569 0.2477  1 In 3.25, 5 Ho 3.26-3.48, 2 Tb 3.53-3.59
Ho 0.6407 0.1141 0.0014  4 Ho 3.18-3.43, 2 Tb 3.21-3.48
Ho 0.7523 0.3647 0.2431  1 In 3.25, 5 Ho 3.26-3.48, 2 Tb 3.53-3.59
Ho 0.7569 0.2477 0.6353  1 In 3.25, 5 Ho 3.26-3.48, 2 Tb 3.53-3.59
Ho 0.8859 0.9986 0.3593  4 Ho 3.18-3.43, 2 Tb 3.21-3.48
Ho 0.9986 0.3593 0.8859  4 Ho 3.18-3.43, 2 Tb 3.21-3.48
In 0.5000 0.5000 0.5000  6 Ho 3.25

energy relative to the elements: 166 meV/atom

=====

# 3
The following is a GGA-PBE calculation of a relaxed structure of TbHo9In2, from Alexandria via LeMat-Bulk.

Cell: 4.8521 4.8521 14.8600 Å, 90.00 90.00 90.00°
With the nearest neighbours (Å) after each atom.
Element x y z (fractional)
Tb 0.0000 0.0000 0.0000  12 Ho 3.43-3.53
Ho 0.0000 0.5000 0.1726  8 Ho 3.43-3.53, 2 In 3.47, 2 Tb 3.53
Ho 0.0000 0.5000 0.5000  4 In 3.41, 8 Ho 3.42-3.43
Ho 0.0000 0.5000 0.8274  8 Ho 3.43-3.53, 2 In 3.47, 2 Tb 3.53
Ho 0.5000 0.0000 0.1726  8 Ho 3.43-3.53, 2 In 3.47, 2 Tb 3.53
Ho 0.5000 0.0000 0.5000  4 In 3.41, 8 Ho 3.42-3.43
Ho 0.5000 0.0000 0.8274  8 Ho 3.43-3.53, 2 In 3.47, 2 Tb 3.53
Ho 0.5000 0.5000 0.0000  4 Tb 3.43, 8 Ho 3.53
Ho 0.5000 0.5000 0.3375  8 Ho 3.42-3.45, 4 In 3.43
Ho 0.5000 0.5000 0.6625  8 Ho 3.42-3.45, 4 In 3.43
In 0.0000 0.0000 0.3392  12 Ho 3.41-3.47
In 0.0000 0.0000 0.6608  12 Ho 3.41-3.47

energy relative to the elements: -164 meV/atom

=====

# 4
The following is a GGA-PBE calculation of a relaxed structure of Tb6HoIn2, from Alexandria via LeMat-Bulk.

Cell: 8.8584 8.8584 8.8584 Å, 138.76 138.76 59.74°
With the nearest neighbours (Å) after each atom.
Element x y z (fractional)
Tb 0.0876 0.7352 0.0000  3 Tb 3.11-3.38, 1 Ho 3.16, 2 In 3.40-3.47
Tb 0.2500 0.7500 0.5000  4 In 3.18, 4 Tb 3.38
Tb 0.2648 0.2648 0.3524  3 Tb 3.11-3.38, 1 Ho 3.16, 2 In 3.40-3.47
Tb 0.7352 0.0876 0.0000  3 Tb 3.11-3.38, 1 Ho 3.16, 2 In 3.40-3.47
Tb 0.7500 0.2500 0.5000  4 In 3.18, 4 Tb 3.38
Tb 0.9124 0.9124 0.6476  3 Tb 3.11-3.38, 1 Ho 3.16, 2 In 3.40-3.47
Ho 0.5000 0.5000 0.0000  4 Tb 3.16, 2 In 3.21
In 0.2909 0.2909 0.0000  8 Tb 3.18-3.47, 1 Ho 3.21
In 0.7091 0.7091 0.0000  8 Tb 3.18-3.47, 1 Ho 3.21

E above lowest polymorph: 50.5 kJ per mole of atoms
energy relative to the elements: 323 meV/atom

=====

# 5
The following is a GGA-PBE calculation of a relaxed structure of Tb8HoIn6, from Alexandria via LeMat-Bulk.

Cell: 8.3423 8.3423 8.3423 Å, 65.71 65.71 65.71°
With the nearest neighbours (Å) after each atom.
Element x y z (fractional)
Tb 0.0536 0.7198 0.3868  5 In 3.16-3.34
Tb 0.1665 0.1665 0.1665  6 In 3.23
Tb 0.2802 0.6133 0.9464  5 In 3.16-3.34
Tb 0.3868 0.0536 0.7198  5 In 3.16-3.34
Tb 0.6132 0.9464 0.2802  5 In 3.16-3.34
Tb 0.7198 0.3867 0.0536  5 In 3.16-3.34
Tb 0.8335 0.8335 0.8335  6 In 3.23
Tb 0.9464 0.2802 0.6132  5 In 3.16-3.34
Ho 0.5000 0.5000 0.5000  6 In 3.21
In 0.1096 0.4419 0.7740  7 Tb 3.16-3.34, 1 Ho 3.21
In 0.2260 0.8904 0.5581  7 Tb 3.16-3.34, 1 Ho 3.21
In 0.4419 0.7740 0.1096  7 Tb 3.16-3.34, 1 Ho 3.21
In 0.5581 0.2260 0.8904  7 Tb 3.16-3.34, 1 Ho 3.21
In 0.7740 0.1096 0.4419  7 Tb 3.16-3.34, 1 Ho 3.21
In 0.8904 0.5581 0.2260  7 Tb 3.16-3.34, 1 Ho 3.21

energy relative to the elements: -219 meV/atom

=====

# 6
The following is a GGA-PBE calculation of a relaxed structure of Tb3Ho4In4, from Alexandria via LeMat-Bulk.

Cell: 9.5761 9.5761 9.5761 Å, 150.86 128.58 60.20°
With the nearest neighbours (Å) after each atom.
Element x y z (fractional)
Tb 0.0000 0.0000 0.0000  6 In 3.56-3.59
Tb 0.3832 0.8832 0.5000  6 In 3.43-3.69, 4 Ho 3.55
Tb 0.6168 0.1168 0.5000  6 In 3.43-3.69, 4 Ho 3.55
Ho 0.0338 0.3289 0.7048  4 In 2.99-3.10
Ho 0.3759 0.6711 0.7048  4 In 2.99-3.10
Ho 0.6241 0.3289 0.2952  4 In 2.99-3.10
Ho 0.9662 0.6711 0.2952  4 In 2.99-3.10
In 0.2149 0.2149 0.0000  6 Ho 3.04-3.10
In 0.3206 0.5000 0.8206  1 In 2.98, 2 Ho 2.99
In 0.6794 0.5000 0.1794  1 In 2.98, 2 Ho 2.99
In 0.7851 0.7851 0.0000  6 Ho 3.04-3.10

energy relative to the elements: -199 meV/atom

=====

# 7
The following is a GGA-PBE calculation of a relaxed structure of Tb3Ho7In, from Alexandria via LeMat-Bulk.

Cell: 6.9324 6.9324 8.4748 Å, 90.00 90.00 120.00°
With the nearest neighbours (Å) after each atom.
Element x y z (fractional)
Tb 0.0013 0.5007 0.0000  5 Ho 3.42-3.51, 4 Tb 3.45-3.48, 1 In 3.49
Tb 0.4993 0.5007 0.0000  5 Ho 3.42-3.51, 4 Tb 3.45-3.48, 1 In 3.49
Tb 0.4993 0.9987 0.0000  5 Ho 3.42-3.51, 4 Tb 3.45-3.48, 1 In 3.49
Ho 0.1695 0.3390 0.3369  7 Ho 3.40-3.53, 2 In 3.47, 2 Tb 3.47
Ho 0.1695 0.8305 0.3369  7 Ho 3.40-3.53, 2 In 3.47, 2 Tb 3.47
Ho 0.3333 0.6667 0.6715  3 Tb 3.42, 9 Ho 3.45-3.47
Ho 0.3361 0.1680 0.6597  1 In 3.39, 8 Ho 3.40-3.49, 2 Tb 3.51
Ho 0.6610 0.8305 0.3369  7 Ho 3.40-3.53, 2 In 3.47, 2 Tb 3.47
Ho 0.8320 0.1680 0.6597  1 In 3.39, 8 Ho 3.40-3.49, 2 Tb 3.51
Ho 0.8320 0.6639 0.6597  1 In 3.39, 8 Ho 3.40-3.49, 2 Tb 3.51
In 0.6667 0.3333 0.3360  9 Ho 3.39-3.47, 3 Tb 3.49

energy relative to the elements: 116 meV/atom

=====

# 8
The following is a GGA-PBE calculation of a relaxed structure of TbHo6In3, from Alexandria via LeMat-Bulk.

Cell: 9.2406 9.2406 7.6483 Å, 90.00 90.00 111.12°
With the nearest neighbours (Å) after each atom.
Element x y z (fractional)
Tb 0.2094 0.7906 0.5000  2 In 3.29, 5 Ho 3.30-3.54
Tb 0.7906 0.2094 0.0000  2 In 3.29, 5 Ho 3.30-3.54
Ho 0.0470 0.9530 0.7863  1 Tb 3.30, 4 In 3.32-3.44, 6 Ho 3.37-3.66
Ho 0.0762 0.4502 0.2874  3 In 3.07-3.21, 1 Ho 3.34, 1 Tb 3.36
Ho 0.2330 0.2992 0.9758  4 In 3.14-3.29, 2 Ho 3.34-3.37
Ho 0.2992 0.2330 0.4758  4 In 3.14-3.29, 2 Ho 3.34-3.37
Ho 0.3016 0.6984 0.9496  3 In 3.24-3.35, 6 Ho 3.49-3.58
Ho 0.4502 0.0762 0.7874  3 In 3.07-3.21, 1 Ho 3.34, 1 Tb 3.36
Ho 0.5498 0.9238 0.2874  3 In 3.07-3.21, 1 Ho 3.34, 1 Tb 3.36
Ho 0.6984 0.3016 0.4496  3 In 3.24-3.35, 6 Ho 3.49-3.58
Ho 0.7008 0.7670 0.9758  4 In 3.14-3.29, 2 Ho 3.34-3.37
Ho 0.7670 0.7008 0.4758  4 In 3.14-3.29, 2 Ho 3.34-3.37
Ho 0.9238 0.5498 0.7874  3 In 3.07-3.21, 1 Ho 3.34, 1 Tb 3.36
Ho 0.9530 0.0470 0.2863  1 Tb 3.30, 4 In 3.32-3.44, 6 Ho 3.37-3.66
In 0.0121 0.2803 0.6495  1 In 3.06, 6 Ho 3.07-3.35, 1 Tb 3.29
In 0.2803 0.0121 0.1495  1 In 3.06, 6 Ho 3.07-3.35, 1 Tb 3.29
In 0.4465 0.5535 0.2600  7 Ho 3.21-3.29
In 0.5535 0.4465 0.7600  7 Ho 3.21-3.29
In 0.7197 0.9879 0.6495  1 In 3.06, 6 Ho 3.07-3.35, 1 Tb 3.29
In 0.9879 0.7197 0.1495  1 In 3.06, 6 Ho 3.07-3.35, 1 Tb 3.29

energy relative to the elements: -129 meV/atom

=====

# 9
The following is a GGA-PBE calculation of a relaxed structure of Tb4Ho5In, from Alexandria via LeMat-Bulk.

Cell: 8.0143 8.0143 8.0143 Å, 97.45 97.45 137.78°
With the nearest neighbours (Å) after each atom.
Element x y z (fractional)
Tb 0.0000 0.3146 0.3146  3 Ho 3.33-3.54, 1 In 3.68
Tb 0.0000 0.6854 0.6854  3 Ho 3.33-3.54, 1 In 3.68
Tb 0.3146 0.0000 0.3146  3 Ho 3.33-3.54, 1 In 3.68
Tb 0.6854 0.0000 0.6854  3 Ho 3.33-3.54, 1 In 3.68
Ho 0.2113 0.2113 0.0000  2 In 2.79-2.98
Ho 0.3121 0.3121 0.6291  1 In 3.08, 1 Ho 3.23, 2 Tb 3.33
Ho 0.3121 0.6830 0.0000  1 In 3.08, 1 Ho 3.23, 2 Tb 3.33
Ho 0.6830 0.3121 0.0000  1 In 3.08, 1 Ho 3.23, 2 Tb 3.33
Ho 0.6830 0.6830 0.3709  1 In 3.08, 1 Ho 3.23, 2 Tb 3.33
In 0.7283 0.7283 0.0000  6 Ho 2.79-3.08

E above lowest polymorph: 8.9 kJ per mole of atoms
energy relative to the elements: 114 meV/atom

=====

# 10
The following is a GGA-PBE calculation of a relaxed structure of Tb3Ho8In2, from Alexandria via LeMat-Bulk.

Cell: 8.1678 5.4991 10.0474 Å, 90.00 113.96 90.00°
With the nearest neighbours (Å) after each atom.
Element x y z (fractional)
Tb 0.0000 0.0000 0.0000  4 Ho 3.23
Tb 0.2975 0.5000 0.0000  3 Tb 3.31-3.67, 8 Ho 3.41-3.65
Tb 0.7025 0.5000 0.0000  3 Tb 3.31-3.67, 8 Ho 3.41-3.65
Ho 0.1299 0.5000 0.2600  2 In 3.33, 4 Tb 3.41-3.64, 5 Ho 3.54-3.66
Ho 0.1765 0.0000 0.7653  2 In 3.19-3.23, 3 Tb 3.23-3.49, 3 Ho 3.37-3.41
Ho 0.3230 0.5000 0.6452  2 In 3.21, 5 Ho 3.41-3.54
Ho 0.4112 0.0000 0.2350  2 In 3.19-3.24, 3 Tb 3.23-3.50, 3 Ho 3.37-3.41
Ho 0.5888 0.0000 0.7650  2 In 3.19-3.24, 3 Tb 3.23-3.50, 3 Ho 3.37-3.41
Ho 0.6770 0.5000 0.3548  2 In 3.21, 5 Ho 3.41-3.54
Ho 0.8235 0.0000 0.2347  2 In 3.19-3.23, 3 Tb 3.23-3.49, 3 Ho 3.37-3.41
Ho 0.8701 0.5000 0.7400  2 In 3.33, 4 Tb 3.41-3.64, 5 Ho 3.54-3.66
In 0.2316 0.0000 0.4642  8 Ho 3.19-3.33
In 0.7684 0.0000 0.5358  8 Ho 3.19-3.33

energy relative to the elements: 27 meV/atom

=====

# 11
The following is a GGA-PBE calculation of a relaxed structure of Tb2Ho3In2, from Alexandria via LeMat-Bulk.

Cell: 12.1051 12.1051 3.4295 Å, 90.00 90.00 156.76°
With the nearest neighbours (Å) after each atom.
Element x y z (fractional)
Tb 0.2142 0.7858 0.0000  2 Tb 2.97
Tb 0.7858 0.2142 0.0000  2 Tb 2.97
Ho 0.3585 0.6415 0.5000  3 Ho 3.36-3.43, 4 In 3.41, 4 Tb 3.44
Ho 0.5000 0.5000 0.5000  4 Ho 3.36-3.43, 8 In 3.43
Ho 0.6415 0.3585 0.5000  3 Ho 3.36-3.43, 4 In 3.41, 4 Tb 3.44
In 0.0713 0.9287 0.0000  3 In 3.38-3.43, 1 Tb 3.39, 8 Ho 3.41-3.43
In 0.9287 0.0713 0.0000  3 In 3.38-3.43, 1 Tb 3.39, 8 Ho 3.41-3.43

E above lowest polymorph: 12.0 kJ per mole of atoms
energy relative to the elements: -152 meV/atom

=====

# 12
The following is a GGA-PBE calculation of a relaxed structure of TbHo6In6, from Alexandria via LeMat-Bulk.

Cell: 6.2420 6.2420 10.6991 Å, 90.00 90.00 120.00°
With the nearest neighbours (Å) after each atom.
Element x y z (fractional)
Tb 0.0000 0.0000 0.0000  8 Ho 3.60-3.63
Ho 0.0000 0.0000 0.3388  6 In 3.28, 1 Ho 3.45, 1 Tb 3.63
Ho 0.0000 0.0000 0.6612  6 In 3.28, 1 Ho 3.45, 1 Tb 3.63
Ho 0.3333 0.6667 0.0000  6 In 3.19
Ho 0.3333 0.6667 0.5000  6 In 3.26, 3 Ho 3.60
Ho 0.6667 0.3333 0.0000  6 In 3.19
Ho 0.6667 0.3333 0.5000  6 In 3.26, 3 Ho 3.60
In 0.0000 0.5000 0.2458  4 In 3.12, 6 Ho 3.19-3.28
In 0.0000 0.5000 0.7542  4 In 3.12, 6 Ho 3.19-3.28
In 0.5000 0.0000 0.2458  4 In 3.12, 6 Ho 3.19-3.28
In 0.5000 0.0000 0.7542  4 In 3.12, 6 Ho 3.19-3.28
In 0.5000 0.5000 0.2458  4 In 3.12, 6 Ho 3.19-3.28
In 0.5000 0.5000 0.7542  4 In 3.12, 6 Ho 3.19-3.28

energy relative to the elements: -311 meV/atom

=====

The highest energy relative to the elements belongs to which entry? Tb6HoIn2

=====

The highest energy relative to the elements belongs to which entry? Tb6HoIn2

=====

What did the twelfth record say?
The following is a GGA-PBE calculation of a relaxed structure of TbHo6In6, from Alexandria via LeMat-Bulk.

Cell: 6.2420 6.2420 10.6991 Å, 90.00 90.00 120.00°
With the nearest neighbours (Å) after each atom.
Element x y z (fractional)
Tb 0.0000 0.0000 0.0000  8 Ho 3.60-3.63
Ho 0.0000 0.0000 0.3388  6 In 3.28, 1 Ho 3.45, 1 Tb 3.63
Ho 0.0000 0.0000 0.6612  6 In 3.28, 1 Ho 3.45, 1 Tb 3.63
Ho 0.3333 0.6667 0.0000  6 In 3.19
Ho 0.3333 0.6667 0.5000  6 In 3.26, 3 Ho 3.60
Ho 0.6667 0.3333 0.0000  6 In 3.19
Ho 0.6667 0.3333 0.5000  6 In 3.26, 3 Ho 3.60
In 0.0000 0.5000 0.2458  4 In 3.12, 6 Ho 3.19-3.28
In 0.0000 0.5000 0.7542  4 In 3.12, 6 Ho 3.19-3.28
In 0.5000 0.0000 0.2458  4 In 3.12, 6 Ho 3.19-3.28
In 0.5000 0.0000 0.7542  4 In 3.12, 6 Ho 3.19-3.28
In 0.5000 0.5000 0.2458  4 In 3.12, 6 Ho 3.19-3.28
In 0.5000 0.5000 0.7542  4 In 3.12, 6 Ho 3.19-3.28

energy relative to the elements: -311 meV/atom